Arrangement 1

{"formula": "NdEu3", "functional": "GGA-PBE", "state": "relaxed", "total_magnetization_mub_per_cell": 44.9, "vol_a3_per_atom": 39.7, "lattice_angstrom": [[-1.6874, 1.2739, -7.3896], [6.6410, -3.3711, 1.8996], [-2.7304, -5.5685, -0.3365]], "species": ["Nd", "Nd", "Eu", "Eu", "Eu", "Eu", "Eu", "Eu"], "fractional_positions": [[0.6667, 0.3333, 0.2500], [0.3333, 0.6667, 0.7500], [0.1686, 0.3373, 0.2500], [0.8314, 0.1686, 0.7500], [0.3373, 0.1686, 0.7500], [0.8314, 0.6627, 0.7500], [0.1686, 0.8314, 0.2500], [0.6627, 0.8314, 0.2500]]}



Arrangement 2

{"formula": "NdEu3", "functional": "GGA-PBE", "state": "relaxed", "total_magnetization_mub_per_cell": 7.4, "vol_a3_per_atom": 39.6, "lattice_angstrom": [[6.0564, 0.0000, 0.0000], [0.0000, 6.0564, 0.0000], [-3.0282, -3.0282, 4.3194]], "species": ["Eu", "Eu", "Eu", "Nd"], "fractional_positions": [[0.7500, 0.2500, 0.5000], [0.2500, 0.7500, 0.5000], [0.5000, 0.5000, 0.0000], [0.0000, 0.0000, 0.0000]]}



Arrangement 3

{"formula": "NdEu3", "functional": "GGA-PBE", "state": "relaxed", "total_magnetization_mub_per_cell": 22.4, "vol_a3_per_atom": 39.7, "lattice_angstrom": [[-0.6733, 3.6154, -1.0557], [-1.8755, 1.4699, 6.2302], [7.1377, -1.0390, -1.1770]], "species": ["Eu", "Eu", "Eu", "Nd"], "fractional_positions": [[0.7473, 0.0814, 0.4947], [0.5000, 0.4980, 0.0000], [0.2527, 0.5868, 0.5053], [0.0000, 0.0004, 0.0000]]}



It is arrangement 2 that is the least stable of them.



Arrangement 1

{"formula": "NdEu", "functional": "GGA-PBE", "state": "relaxed", "total_magnetization_mub_per_cell": 14.9, "vol_a3_per_atom": 38.2, "lattice_angstrom": [[3.7714, 0.0067, 0.0000], [-0.0175, 10.7353, 0.0000], [0.0000, 0.0000, 3.7713]], "species": ["Eu", "Eu", "Nd", "Nd"], "fractional_positions": [[0.2497, 0.6329, 0.2500], [0.7503, 0.3671, 0.7500], [0.2502, 0.1134, 0.2500], [0.7498, 0.8866, 0.7500]]}



Arrangement 2

{"formula": "NdEu", "functional": "GGA-PBE", "state": "relaxed", "total_magnetization_mub_per_cell": 7.5, "vol_a3_per_atom": 37.7, "lattice_angstrom": [[-0.4111, -2.4402, -3.4238], [3.3405, -2.2786, 1.2229], [-2.5531, -2.5883, 2.1513]], "species": ["Eu", "Nd"], "fractional_positions": [[0.0000, 0.0000, 0.0000], [0.5000, 0.5000, 0.5000]]}



It is arrangement 2 that is the least stable of them.



Arrangement 1

{"formula": "NdEu2", "functional": "GGA-PBE", "state": "relaxed", "total_magnetization_mub_per_cell": 14.8, "vol_a3_per_atom": 39.0, "lattice_angstrom": [[3.7819, 0.0000, 0.0000], [0.0000, 3.7819, 0.0000], [-1.8909, -1.8909, 8.1732]], "species": ["Eu", "Eu", "Nd"], "fractional_positions": [[0.6634, 0.6634, 0.3268], [0.3366, 0.3366, 0.6732], [0.0000, 0.0000, 0.0000]]}



Arrangement 2

{"formula": "NdEu2", "functional": "GGA-PBE", "state": "relaxed", "total_magnetization_mub_per_cell": 32.0, "vol_a3_per_atom": 40.0, "lattice_angstrom": [[6.9740, 0.0000, 0.0000], [3.4870, 6.0397, 0.0000], [3.4870, 2.0132, 5.6943]], "species": ["Eu", "Eu", "Eu", "Eu", "Nd", "Nd"], "fractional_positions": [[0.1250, 0.6250, 0.6250], [0.6250, 0.1250, 0.6250], [0.6250, 0.6250, 0.6250], [0.6250, 0.6250, 0.1250], [0.0000, 0.0000, 0.0000], [0.2500, 0.2500, 0.2500]]}



It is arrangement 2 that is the least stable of them.



Arrangement 1

{"formula": "NdEu2Pb", "functional": "GGA-PBE", "state": "relaxed", "total_magnetization_mub_per_cell": 14.6, "vol_a3_per_atom": 34.1, "lattice_angstrom": [[4.3831, 0.0000, 0.0000], [0.0000, 4.3831, 0.0000], [0.0000, 0.0000, 7.1052]], "species": ["Pb", "Eu", "Eu", "Nd"], "fractional_positions": [[0.5000, 0.5000, 0.0000], [0.0000, 0.0000, 0.7701], [0.0000, 0.0000, 0.2299], [0.5000, 0.5000, 0.5000]]}



Arrangement 2

{"formula": "NdEu2Pb", "functional": "GGA-PBE", "state": "relaxed", "total_magnetization_mub_per_cell": 14.8, "vol_a3_per_atom": 32.8, "lattice_angstrom": [[-2.5305, -3.8880, -2.4569], [-2.0046, -1.4432, 4.3485], [-3.8962, 3.0344, -0.7890]], "species": ["Pb", "Eu", "Eu", "Nd"], "fractional_positions": [[0.5000, 0.0000, 0.0000], [0.0000, 0.0000, 0.5000], [0.0000, 0.5000, 0.0000], [0.5000, 0.5000, 0.5000]]}



It is arrangement 1 that is the least stable of them.



Arrangement 1

{"formula": "Nd2EuPb", "functional": "GGA-PBE", "state": "relaxed", "total_magnetization_mub_per_cell": 7.6, "vol_a3_per_atom": 33.0, "lattice_angstrom": [[4.3089, 0.0000, 0.0000], [0.0000, 4.3089, 0.0000], [0.0000, 0.0000, 7.1111]], "species": ["Pb", "Eu", "Nd", "Nd"], "fractional_positions": [[0.5000, 0.5000, 0.0000], [0.5000, 0.5000, 0.5000], [0.0000, 0.0000, 0.7757], [0.0000, 0.0000, 0.2243]]}



Arrangement 2

{"formula": "Nd2EuPb", "functional": "GGA-PBE", "state": "relaxed", "total_magnetization_mub_per_cell": 7.6, "vol_a3_per_atom": 31.8, "lattice_angstrom": [[-3.9578, -1.0757, -2.7696], [2.1889, -4.3420, -1.4415], [-2.1166, -2.3777, 3.9482]], "species": ["Pb", "Eu", "Nd", "Nd"], "fractional_positions": [[0.5000, 0.5000, 0.5000], [0.5000, 0.0000, 0.0000], [0.0000, 0.0000, 0.5000], [0.0000, 0.5000, 0.0000]]}



It is arrangement 1 that is the least stable of them.



Arrangement 1

{"formula": "NdEuPd2", "functional": "GGA-PBE", "state": "relaxed", "total_magnetization_mub_per_cell": 7.1, "vol_a3_per_atom": 23.7, "lattice_angstrom": [[5.1188, 0.0000, 0.0000], [2.5594, 4.4330, 0.0000], [2.5594, 1.4777, 4.1795]], "species": ["Eu", "Nd", "Pd", "Pd"], "fractional_positions": [[0.0000, 0.0000, 0.0000], [0.5000, 0.5000, 0.5000], [0.2500, 0.2500, 0.2500], [0.7500, 0.7500, 0.7500]]}



Arrangement 2

{"formula": "NdEuPd2", "functional": "GGA-PBE", "state": "relaxed", "total_magnetization_mub_per_cell": 7.0, "vol_a3_per_atom": 26.9, "lattice_angstrom": [[-2.1829, -1.8726, -3.0799], [1.2372, -3.7456, -1.4823], [-4.2940, -5.0730, 3.2451]], "species": ["Eu", "Nd", "Pd", "Pd"], "fractional_positions": [[0.5000, 0.5000, 0.5000], [0.0000, 0.0000, 0.0000], [0.7469, 0.7469, 0.7594], [0.2531, 0.2531, 0.2406]]}



Arrangement 3

{"formula": "NdEuPd2", "functional": "GGA-PBE", "state": "relaxed", "total_magnetization_mub_per_cell": 7.1, "vol_a3_per_atom": 24.0, "lattice_angstrom": [[3.6340, 0.0000, 0.0000], [0.0000, 3.6340, 0.0000], [0.0000, 0.0000, 7.2739]], "species": ["Eu", "Nd", "Pd", "Pd"], "fractional_positions": [[0.5000, 0.5000, 0.5000], [0.5000, 0.5000, 0.0000], [0.0000, 0.0000, 0.7688], [0.0000, 0.0000, 0.2312]]}



It is arrangement 2 that is the least stable of them.



Arrangement 1

{"formula": "PmNd2Eu", "functional": "GGA-PBE", "state": "relaxed", "total_magnetization_mub_per_cell": 7.1, "vol_a3_per_atom": 35.9, "lattice_angstrom": [[-0.7771, 1.5862, 4.9227], [0.0910, -4.9849, 1.6206], [5.1835, 0.3265, 0.7130]], "species": ["Eu", "Nd", "Nd", "Pm"], "fractional_positions": [[0.5000, 0.5000, 0.5000], [0.0000, 0.0000, 0.5000], [0.0000, 0.5000, 0.0000], [0.5000, 0.0000, 0.0000]]}



Arrangement 2

{"formula": "PmNd2Eu", "functional": "GGA-PBE", "state": "relaxed", "total_magnetization_mub_per_cell": 8.4, "vol_a3_per_atom": 36.2, "lattice_angstrom": [[5.8946, 0.0000, 0.0000], [2.9473, 5.1048, 0.0000], [2.9473, 1.7016, 4.8129]], "species": ["Eu", "Nd", "Nd", "Pm"], "fractional_positions": [[0.0000, 0.0000, 0.0000], [0.2500, 0.2500, 0.2500], [0.7500, 0.7500, 0.7500], [0.5000, 0.5000, 0.5000]]}



It is arrangement 2 that is the least stable of them.



Arrangement 1

{"formula": "NdEuPt2", "functional": "GGA-PBE", "state": "relaxed", "total_magnetization_mub_per_cell": 7.0, "vol_a3_per_atom": 23.5, "lattice_angstrom": [[3.6048, 0.0000, 0.0000], [0.0000, 3.6048, 0.0000], [0.0000, 0.0000, 7.2196]], "species": ["Eu", "Nd", "Pt", "Pt"], "fractional_positions": [[0.5000, 0.5000, 0.5000], [0.5000, 0.5000, 0.0000], [0.0000, 0.0000, 0.7647], [0.0000, 0.0000, 0.2353]]}



Arrangement 2

{"formula": "NdEuPt2", "functional": "GGA-PBE", "state": "relaxed", "total_magnetization_mub_per_cell": 7.1, "vol_a3_per_atom": 23.2, "lattice_angstrom": [[-1.4893, 4.6127, -1.5369], [-4.7851, 0.7404, -1.5528], [-3.2085, 2.7191, 2.8581]], "species": ["Eu", "Nd", "Pt", "Pt"], "fractional_positions": [[0.0000, 0.0000, 0.0000], [0.5000, 0.5000, 0.5000], [0.2500, 0.2500, 0.2500], [0.7500, 0.7500, 0.7500]]}



It is arrangement 2 that is the least stable of them.



Arrangement 1

{"formula": "Nd2EuPt", "functional": "GGA-PBE", "state": "relaxed", "total_magnetization_mub_per_cell": 7.9, "vol_a3_per_atom": 36.0, "lattice_angstrom": [[4.1544, 0.0000, 0.0000], [2.0772, 3.5978, 0.0000], [2.0772, 1.1993, 9.6247]], "species": ["Eu", "Nd", "Nd", "Pt"], "fractional_positions": [[0.5000, 0.5000, 0.5000], [0.2777, 0.2777, 0.1669], [0.7223, 0.7223, 0.8331], [0.0000, 0.0000, 0.0000]]}



Arrangement 2

{"formula": "Nd2EuPt", "functional": "GGA-PBE", "state": "relaxed", "total_magnetization_mub_per_cell": 8.3, "vol_a3_per_atom": 31.4, "lattice_angstrom": [[-0.4566, 3.1084, 1.9451], [-0.8670, -1.9960, 2.9864], [8.8602, -0.2172, 2.4270]], "species": ["Eu", "Nd", "Nd", "Pt"], "fractional_positions": [[0.5000, 0.5000, 0.5000], [0.0000, 0.0000, 0.8187], [0.0000, 0.0000, 0.1813], [0.5000, 0.5000, 0.0000]]}



It is arrangement 2 that is the least stable of them.



Arrangement 1

{"formula": "Nd2EuPu", "functional": "GGA-PBE", "state": "relaxed", "total_magnetization_mub_per_cell": 0.8, "vol_a3_per_atom": 34.0, "lattice_angstrom": [[4.9794, 0.0000, 0.0000], [0.0000, 5.2247, 0.0000], [0.0000, 0.0000, 5.2247]], "species": ["Eu", "Nd", "Nd", "Pu"], "fractional_positions": [[0.5000, 0.0000, 0.0000], [0.0000, 0.0000, 0.5000], [0.0000, 0.5000, 0.0000], [0.5000, 0.5000, 0.5000]]}



Arrangement 2

{"formula": "Nd2EuPu", "functional": "GGA-PBE", "state": "relaxed", "total_magnetization_mub_per_cell": 1.2, "vol_a3_per_atom": 34.4, "lattice_angstrom": [[3.6335, 0.0000, 0.0000], [0.0000, 3.6335, 0.0000], [0.0000, 0.0000, 10.4299]], "species": ["Eu", "Nd", "Nd", "Pu"], "fractional_positions": [[0.5000, 0.5000, 0.5000], [0.0000, 0.0000, 0.2317], [0.0000, 0.0000, 0.7683], [0.5000, 0.5000, 0.0000]]}



It is arrangement 1 that is the least stable of them.



Arrangement 1

{"formula": "Nd2EuRh", "functional": "GGA-PBE", "state": "relaxed", "total_magnetization_mub_per_cell": 7.7, "vol_a3_per_atom": 30.9, "lattice_angstrom": [[-2.9654, -2.0689, -0.0223], [1.0711, -1.5683, 3.0769], [-4.6287, 6.5811, 4.9656]], "species": ["Eu", "Rh", "Nd", "Nd"], "fractional_positions": [[0.5000, 0.5000, 0.5000], [0.5000, 0.5000, 0.0000], [0.0000, 0.0000, 0.8243], [0.0000, 0.0000, 0.1757]]}



Arrangement 2

{"formula": "Nd2EuRh", "functional": "GGA-PBE", "state": "relaxed", "total_magnetization_mub_per_cell": 7.9, "vol_a3_per_atom": 34.6, "lattice_angstrom": [[-2.4510, -2.1118, 2.4688], [1.3924, -1.3585, 3.5746], [-3.1756, 7.0517, 6.2336]], "species": ["Eu", "Rh", "Nd", "Nd"], "fractional_positions": [[0.5000, 0.5000, 0.5000], [0.0000, 0.0000, 0.0000], [0.7213, 0.7213, 0.8362], [0.2787, 0.2787, 0.1638]]}



It is arrangement 1 that is the least stable of them.



Arrangement 1

{"formula": "Nd2EuSb", "functional": "GGA-PBE", "state": "relaxed", "total_magnetization_mub_per_cell": 7.8, "vol_a3_per_atom": 30.5, "lattice_angstrom": [[4.8826, 0.0000, 0.0000], [0.0000, 5.0011, 0.0000], [0.0000, 0.0000, 5.0011]], "species": ["Eu", "Sb", "Nd", "Nd"], "fractional_positions": [[0.5000, 0.5000, 0.5000], [0.5000, 0.0000, 0.0000], [0.0000, 0.0000, 0.5000], [0.0000, 0.5000, 0.0000]]}



Arrangement 2

{"formula": "Nd2EuSb", "functional": "GGA-PBE", "state": "relaxed", "total_magnetization_mub_per_cell": 7.2, "vol_a3_per_atom": 30.4, "lattice_angstrom": [[5.5598, 0.0000, 0.0000], [2.7799, 4.8149, 0.0000], [2.7799, 1.6050, 4.5392]], "species": ["Eu", "Sb", "Nd", "Nd"], "fractional_positions": [[0.0000, 0.0000, 0.0000], [0.5000, 0.5000, 0.5000], [0.2499, 0.2499, 0.2502], [0.7501, 0.7501, 0.7498]]}



It is arrangement 2 that is the least stable of them.



Arrangement 1

{"formula": "NdEuSc", "functional": "GGA-PBE", "state": "relaxed", "total_magnetization_mub_per_cell": 7.4, "vol_a3_per_atom": 32.6, "lattice_angstrom": [[-2.2516, -2.4017, 1.4286], [3.5334, -0.3051, 0.5485], [-0.6928, 4.9381, 7.2095]], "species": ["Eu", "Sc", "Nd"], "fractional_positions": [[0.0000, 0.0000, 0.0124], [0.6667, 0.3333, 0.3417], [0.3333, 0.6667, 0.6458]]}



Arrangement 2

{"formula": "NdEuSc", "functional": "GGA-PBE", "state": "relaxed", "total_magnetization_mub_per_cell": 7.2, "vol_a3_per_atom": 32.8, "lattice_angstrom": [[-3.3727, -1.0903, -0.8486], [1.3816, -2.6365, -2.1034], [1.0269, -2.7493, 7.2783]], "species": ["Eu", "Sc", "Nd"], "fractional_positions": [[0.9932, 0.9932, 0.9864], [0.3268, 0.3268, 0.6536], [0.6800, 0.6800, 0.3599]]}



It is arrangement 1 that is the least stable of them.



Arrangement 1

{"formula": "Nd2SmEu", "functional": "GGA-PBE", "state": "relaxed", "total_magnetization_mub_per_cell": 7.1, "vol_a3_per_atom": 35.8, "lattice_angstrom": [[-2.8782, 1.3418, -4.1592], [3.3551, -2.5066, -3.1304], [-2.7950, -4.3884, 0.5184]], "species": ["Eu", "Nd", "Nd", "Sm"], "fractional_positions": [[0.5000, 0.5000, 0.5000], [0.0000, 0.0000, 0.5000], [0.0000, 0.5000, 0.0000], [0.5000, 0.0000, 0.0000]]}



Arrangement 2

{"formula": "Nd2SmEu", "functional": "GGA-PBE", "state": "relaxed", "total_magnetization_mub_per_cell": 8.3, "vol_a3_per_atom": 36.0, "lattice_angstrom": [[5.8846, 0.0000, 0.0000], [2.9423, 5.0962, 0.0000], [2.9423, 1.6987, 4.8047]], "species": ["Eu", "Nd", "Nd", "Sm"], "fractional_positions": [[0.0000, 0.0000, 0.0000], [0.2500, 0.2500, 0.2500], [0.7500, 0.7500, 0.7500], [0.5000, 0.5000, 0.5000]]}



It is arrangement 2 that is the least stable of them.